A geometry-optimized CuAg2 structure, computed with PBE.

a = 2.8694 Å, b = 3.8343 Å, c = 26.1591 Å
α = 90.00°, β = 90.00°, γ = 90.00°
Last column: nearest neighbours and their distance in Å.
Space group Immm (No. 71)
Symmetry-distinct sites (fractional):
Cu: 0.0000 0.0000 0.0000  4 Cu 2.76-2.87, 8 Ag 2.77
Cu: 0.0000 0.0000 0.1054  3 Cu 2.76-2.87, 9 Ag 2.76-2.99
Ag: 0.0000 0.0000 0.2197  11 Ag 2.87-3.16, 1 Cu 2.99
Ag: 0.0000 0.0000 0.3405  4 Cu 2.78, 7 Ag 2.78-2.87
Ag: 0.0000 0.0000 0.4469  8 Cu 2.76-2.77, 4 Ag 2.78-2.87

Calculated values
- distance to the lowest polymorph of the same formula (meV per atom) = 48.6
- energy (eV per cell) = -54.76

A geometry-optimized CuAg structure, computed with PBE.

a = 4.8599 Å, b = 5.6561 Å, c = 5.9436 Å
α = 76.38°, β = 77.64°, γ = 72.79°
Last column: nearest neighbours and their distance in Å.
Space group P1 (No. 1)
Symmetry-distinct sites (fractional):
Cu: 0.0000 0.0000 0.0000  4 Cu 2.57-2.71, 6 Ag 2.68-2.82
Cu: 0.0034 0.4784 0.9960  5 Cu 2.51-2.77, 5 Ag 2.65-2.74
Cu: 0.3589 0.5927 0.1838  4 Cu 2.54-2.71, 6 Ag 2.65-2.81
Cu: 0.3637 0.1110 0.1890  4 Cu 2.51-2.71, 4 Ag 2.66-2.77
Cu: 0.5943 0.3822 0.8274  5 Cu 2.56-2.77, 5 Ag 2.80-2.85
Ag: 0.1801 0.2940 0.6042  6 Cu 2.65-2.85, 6 Ag 2.80-2.87
Ag: 0.1952 0.7861 0.6001  5 Cu 2.74-2.82, 7 Ag 2.80-2.90
Ag: 0.6015 0.8817 0.8251  7 Cu 2.65-2.83, 4 Ag 2.84-2.93
Ag: 0.7678 0.2039 0.3841  6 Cu 2.68-2.91, 6 Ag 2.81-2.93
Ag: 0.7716 0.7033 0.3697  5 Cu 2.68-2.77, 6 Ag 2.80-2.98

Calculated values
- energy (eV per cell) = -31.83

A geometry-optimized CuAg structure, computed with PBE.

a = 2.8431 Å, b = 3.5566 Å, c = 14.7560 Å
α = 90.00°, β = 90.00°, γ = 90.00°
Last column: nearest neighbours and their distance in Å.
Space group Pmmm (No. 47)
Symmetry-distinct sites (fractional):
Cu: 0.0000 0.0000 0.0000  10 Cu 2.59-2.84, 2 Ag 2.72
Cu: 0.0000 0.0000 0.4010  8 Ag 2.70-2.71, 3 Cu 2.84-2.92
Cu: 0.5000 0.5000 0.0839  5 Cu 2.48-2.59, 4 Ag 2.71
Ag: 0.0000 0.0000 0.1840  5 Cu 2.71-2.72, 6 Ag 2.84-2.86
Ag: 0.5000 0.5000 0.3018  4 Cu 2.71, 7 Ag 2.84-2.93
Ag: 0.5000 0.5000 0.5000  8 Cu 2.70, 4 Ag 2.84-2.93

Calculated values
- energy (eV per cell) = -31.83

Formation energy values, unit eV/atom, following the record order: 0.08, 0.09, 0.09.